Entry 1:
A plane-wave DFT calculation with GGA-PBE was carried out for YTa2Hg after structural relaxation.

The density of states at the Fermi level is 6.94 states/eV/f.u. As for the crystal system: tetragonal. The calculation puts the formation energy at 2.25 eV per formula unit.

The structure belongs to space group P4/mmm (No. 123); the cell edges are 3.655, 3.655 and 6.580 Å and the angles 90.00°, 90.00° and 90.00°. The distinct sites, in fractional coordinates, are Y at (0.000, 0.000, 0.000), Ta at (0.500, 0.500, 0.302) and Hg at (0.000, 0.000, 0.500).

=====

Entry 2:
A plane-wave DFT calculation with GGA-PBE was carried out for YTaHg2 after structural relaxation.

The density of states at the Fermi level is 2.84 states/eV/f.u. As for the crystal system: cubic. The calculation puts the formation energy at 2.02 eV per formula unit.

The structure belongs to space group F-43m (No. 216); the cell edges are 7.179, 7.179 and 7.179 Å and the angles 90.00°, 90.00° and 90.00°. The distinct sites, in fractional coordinates, are Y at (0.000, 0.000, 0.000), Ta at (0.250, 0.250, 0.750), Hg at (0.000, 0.000, 0.500) and Hg at (0.250, 0.250, 0.250).

=====

Entry 3:
A plane-wave DFT calculation with GGA-PBE was carried out for YTa2Hg after structural relaxation.

The density of states at the Fermi level is 3.39 states/eV/f.u. As for the crystal system: tetragonal. The calculation puts the formation energy at 1.73 eV per formula unit.

The structure belongs to space group P4/mmm (No. 123); the cell edges are 2.955, 2.955 and 9.605 Å and the angles 90.00°, 90.00° and 90.00°. The distinct sites, in fractional coordinates, are Y at (0.000, 0.000, 0.000), Ta at (0.500, 0.500, 0.264) and Hg at (0.000, 0.000, 0.500).

=====

Entry 4:
A plane-wave DFT calculation with GGA-PBE was carried out for YTaHg2 after structural relaxation.

The density of states at the Fermi level is 2.87 states/eV/f.u. As for the crystal system: tetragonal. The calculation puts the formation energy at 0.57 eV per formula unit.

The structure belongs to space group P4/mmm (No. 123); the cell edges are 4.558, 4.558 and 4.235 Å and the angles 90.00°, 90.00° and 90.00°. The distinct sites, in fractional coordinates, are Y at (0.000, 0.000, 0.000), Ta at (0.500, 0.500, 0.000) and Hg at (0.000, 0.500, 0.500).

=====

Entry 5:
A plane-wave DFT calculation with GGA-PBE was carried out for TaZn3Hg after structural relaxation.

The density of states at the Fermi level is 7.31 states/eV/f.u. As for the crystal system: cubic. The calculation puts the formation energy at 5.36 eV per formula unit.

The structure belongs to space group Pm-3m (No. 221); the cell edges are 5.124, 5.124 and 5.124 Å and the angles 90.00°, 90.00° and 90.00°. The distinct sites, in fractional coordinates, are Ta at (0.000, 0.000, 0.000), Zn at (0.000, 0.000, 0.500) and Hg at (0.500, 0.500, 0.500).

=====

Entry 6:
A plane-wave DFT calculation with GGA-PBE was carried out for TaZn2Hg after structural relaxation.

The density of states at the Fermi level is 1.73 states/eV/f.u. As for the crystal system: tetragonal. The calculation puts the formation energy at 0.52 eV per formula unit.

The structure belongs to space group P4/mmm (No. 123); the cell edges are 2.923, 2.923 and 8.212 Å and the angles 90.00°, 90.00° and 90.00°. The distinct sites, in fractional coordinates, are Ta at (0.000, 0.000, 0.000), Zn at (0.500, 0.500, 0.235) and Hg at (0.000, 0.000, 0.500).

=====

Entry 7:
A plane-wave DFT calculation with GGA-PBE was carried out for TaZn2Hg after structural relaxation.

The density of states at the Fermi level is 2.10 states/eV/f.u. As for the crystal system: orthorhombic. The calculation puts the formation energy at 0.85 eV per formula unit.

The structure belongs to space group Cmmm (No. 65); the cell edges are 5.927, 8.316 and 2.862 Å and the angles 90.00°, 90.00° and 90.00°. The distinct sites, in fractional coordinates, are Ta at (0.000, 0.000, 0.000), Zn at (0.250, 0.250, 0.500) and Hg at (0.000, 0.500, 0.000).

=====

Entry 8:
A plane-wave DFT calculation with GGA-PBE was carried out for TaZn2Hg after structural relaxation.

The density of states at the Fermi level is 2.51 states/eV/f.u. As for the crystal system: monoclinic. The calculation puts the formation energy at 0.90 eV per formula unit.

The structure belongs to space group Pm (No. 6); the cell edges are 2.922, 4.275 and 5.695 Å and the angles 90.00°, 104.64° and 90.00°. The distinct sites, in fractional coordinates, are Ta at (0.000, 0.000, 0.000), Zn at (0.600, 0.500, 0.203), Zn at (0.731, 0.000, 0.464) and Hg at (0.353, 0.500, 0.701).

=====

Entry 9:
A plane-wave DFT calculation with GGA-PBE was carried out for TaZn2Hg after structural relaxation.

The density of states at the Fermi level is 2.31 states/eV/f.u. As for the crystal system: monoclinic. The calculation puts the formation energy at 0.96 eV per formula unit.

The structure belongs to space group C2/m (No. 12); the cell edges are 5.836, 9.195 and 2.757 Å and the angles 90.00°, 108.45° and 90.00°. The distinct sites, in fractional coordinates, are Ta at (0.000, 0.000, 0.000), Zn at (0.250, 0.250, 0.500) and Hg at (0.000, 0.500, 0.000).

=====

Entry 10:
A plane-wave DFT calculation with GGA-PBE was carried out for TaZn2Hg after structural relaxation.

The density of states at the Fermi level is 1.81 states/eV/f.u. As for the crystal system: orthorhombic. The calculation puts the formation energy at 0.77 eV per formula unit.

The structure belongs to space group Pmmm (No. 47); the cell edges are 2.894, 4.340 and 5.621 Å and the angles 90.00°, 90.00° and 90.00°. The distinct sites, in fractional coordinates, are Ta at (0.000, 0.000, 0.000), Zn at (0.500, 0.500, 0.219) and Hg at (0.500, 0.000, 0.500).

=====

Entry 11:
A plane-wave DFT calculation with GGA-PBE was carried out for TaZn2Hg after structural relaxation.

The density of states at the Fermi level is 4.35 states/eV/f.u. As for the crystal system: cubic. The calculation puts the formation energy at 2.07 eV per formula unit.

The structure belongs to space group F-43m (No. 216); the cell edges are 6.557, 6.557 and 6.557 Å and the angles 90.00°, 90.00° and 90.00°. The distinct sites, in fractional coordinates, are Ta at (0.000, 0.000, 0.000), Zn at (0.000, 0.000, 0.500), Zn at (0.250, 0.250, 0.250) and Hg at (0.250, 0.250, 0.750).

=====

Entry 12:
A plane-wave DFT calculation with GGA-PBE was carried out for TaZn2Hg after structural relaxation.

The density of states at the Fermi level is 3.66 states/eV/f.u. As for the crystal system: trigonal. The calculation puts the formation energy at 0.86 eV per formula unit.

The structure belongs to space group R-3m (No. 166, hexagonal axes); the cell edges are 2.9783, 2.9783 and 28.5563 Å and the angles 90.00°, 90.00° and 120.00°. The distinct sites, in fractional coordinates, are Ta at (0.0000, 0.0000, 0.0000), Zn at (0.0000, 0.0000, 0.2546) and Hg at (0.0000, 0.0000, 0.5000).

=====

Entry 13:
A plane-wave DFT calculation with GGA-PBE was carried out for TaZn2Hg after structural relaxation.

The density of states at the Fermi level is 3.41 states/eV/f.u. As for the crystal system: tetragonal. The calculation puts the formation energy at 1.40 eV per formula unit.

The structure belongs to space group I-4m2 (No. 119); the cell edges are 3.982, 3.982 and 8.738 Å and the angles 90.00°, 90.00° and 90.00°. The distinct sites, in fractional coordinates, are Ta at (0.000, 0.000, 0.000), Zn at (0.000, 0.000, 0.500), Zn at (0.000, 0.500, 0.750) and Hg at (0.000, 0.500, 0.250).

=====

Entry 14:
A plane-wave DFT calculation with GGA-PBE was carried out for TaZn2Hg after structural relaxation.

The density of states at the Fermi level is 4.17 states/eV/f.u. As for the crystal system: tetragonal. The calculation puts the formation energy at 2.12 eV per formula unit.

The structure belongs to space group I-42d (No. 122); the cell edges are 7.263, 7.263 and 5.681 Å and the angles 90.00°, 90.00° and 90.00°. The distinct sites, in fractional coordinates, are Ta at (0.000, 0.000, 0.000), Zn at (0.246, 0.250, 0.625) and Hg at (0.000, 0.000, 0.500).

=====

Entry 15:
A plane-wave DFT calculation with GGA-PBE was carried out for TaZnHg3 after structural relaxation.

The density of states at the Fermi level is 4.16 states/eV/f.u. As for the crystal system: cubic. The calculation puts the formation energy at 4.79 eV per formula unit.

The structure belongs to space group Pm-3m (No. 221); the cell edges are 5.550, 5.550 and 5.550 Å and the angles 90.00°, 90.00° and 90.00°. The distinct sites, in fractional coordinates, are Ta at (0.000, 0.000, 0.000), Zn at (0.500, 0.500, 0.500) and Hg at (0.000, 0.000, 0.500).

=====

Entry 16:
A plane-wave DFT calculation with GGA-PBE was carried out for TaZnHg3 after structural relaxation.

The density of states at the Fermi level is 3.60 states/eV/f.u. As for the crystal system: cubic. The calculation puts the formation energy at 5.70 eV per formula unit.

The structure belongs to space group Pm-3m (No. 221); the cell edges are 4.902, 4.902 and 4.902 Å and the angles 90.00°, 90.00° and 90.00°. The distinct sites, in fractional coordinates, are Ta at (0.000, 0.000, 0.000), Zn at (0.500, 0.500, 0.500) and Hg at (0.000, 0.500, 0.500).

=====

Entry 17:
A plane-wave DFT calculation with GGA-PBE was carried out for Ta3ZnHg after structural relaxation.

The density of states at the Fermi level is 8.17 states/eV/f.u. As for the crystal system: cubic. The calculation puts the formation energy at 6.33 eV per formula unit.

The structure belongs to space group Pm-3m (No. 221); the cell edges are 4.704, 4.704 and 4.704 Å and the angles 90.00°, 90.00° and 90.00°. The distinct sites, in fractional coordinates, are Ta at (0.000, 0.000, 0.500), Zn at (0.000, 0.000, 0.000) and Hg at (0.500, 0.500, 0.500).

=====

Entry 18:
A plane-wave DFT calculation with GGA-PBE was carried out for TaZn2Hg after structural relaxation.

The density of states at the Fermi level is 3.48 states/eV/f.u. As for the crystal system: tetragonal. The calculation puts the formation energy at 1.71 eV per formula unit.

The structure belongs to space group I4/mmm (No. 139); the cell edges are 4.138, 4.138 and 8.194 Å and the angles 90.00°, 90.00° and 90.00°. The distinct sites, in fractional coordinates, are Ta at (0.000, 0.000, 0.000), Zn at (0.000, 0.500, 0.250) and Hg at (0.000, 0.000, 0.500).

=====

Entry 19:
A plane-wave DFT calculation with GGA-PBE was carried out for TaZn2Hg after structural relaxation.

The density of states at the Fermi level is 2.61 states/eV/f.u. As for the crystal system: orthorhombic. The calculation puts the formation energy at 1.15 eV per formula unit.

The structure belongs to space group Pmm2 (No. 25); the cell edges are 2.900, 4.023 and 5.994 Å and the angles 90.00°, 90.00° and 90.00°. The distinct sites, in fractional coordinates, are Ta at (0.000, 0.000, 0.000), Zn at (0.000, 0.000, 0.461), Zn at (0.500, 0.500, 0.227) and Hg at (0.500, 0.500, 0.721).

=====

Entry 20:
A plane-wave DFT calculation with GGA-PBE was carried out for TaZn2Hg2 after structural relaxation.

The density of states at the Fermi level is 2.46 states/eV/f.u. As for the crystal system: tetragonal. The calculation puts the formation energy at 2.29 eV per formula unit.

The structure belongs to space group I4/mmm (No. 139); the cell edges are 3.362, 3.362 and 16.956 Å and the angles 90.00°, 90.00° and 90.00°. The distinct sites, in fractional coordinates, are Ta at (0.000, 0.000, 0.000), Zn at (0.000, 0.500, 0.250) and Hg at (0.000, 0.000, 0.392).